## ScTc2Ge2 (PBEsol)

Data for a relaxed structure of ScTc2Ge2.

a = 3.045 Å, b = 7.076 Å, c = 7.076 Å
α = 90.00°, β = 90.00°, γ = 90.00°
Positions (direct):
Sc (0.000, 0.000, 0.000)
Sc (0.000, 0.500, 0.500)
Tc (0.500, 0.151, 0.651)
Tc (0.500, 0.349, 0.151)
Tc (0.500, 0.651, 0.849)
Tc (0.500, 0.849, 0.349)
Ge (0.000, 0.357, 0.857)
Ge (0.000, 0.643, 0.143)
Ge (0.000, 0.857, 0.643)
Ge (0.000, 0.143, 0.357)

The formation energy is -1.86 eV per formula unit.



## Ag2AuBr (PBEsol)

Data for a relaxed structure of Ag2AuBr.

a = 2.950 Å, b = 2.950 Å, c = 9.647 Å
α = 90.00°, β = 90.00°, γ = 117.53°
Positions (direct):
Au (0.000, 0.000, 0.518)
Br (0.500, 0.500, 0.237)
Ag (0.000, 0.000, 0.990)
Ag (0.500, 0.500, 0.755)

The uncorrected formation energy is 0.775 eV per formula unit. As for the energy above the most stable polymorph in this dataset: 118 meV/atom.



## Y2HgBi (PBEsol)

Data for a relaxed structure of Y2HgBi.

a = 5.284 Å, b = 5.284 Å, c = 5.284 Å
α = 60.00°, β = 60.00°, γ = 60.00°
Positions (direct):
Hg (0.000, 0.000, 0.000)
Bi (0.500, 0.500, 0.500)
Y (0.250, 0.250, 0.250)
Y (0.750, 0.750, 0.750)

The formation energy is -2.41 eV per formula unit.



## In3Hg (PBEsol)

Data for a relaxed structure of In3Hg.

a = 3.288 Å, b = 5.665 Å, c = 5.665 Å
α = 111.60°, β = 90.00°, γ = 90.00°
Positions (direct):
In (0.500, 0.500, 0.000)
In (0.000, 0.500, 0.500)
In (0.500, 0.000, 0.500)
Hg (0.000, 0.000, 0.000)

The formation energy is -0.04 eV per formula unit.



## SrLaSe2 (PBEsol)

Data for a relaxed structure of SrLaSe2.

a = 4.299 Å, b = 4.299 Å, c = 6.085 Å
α = 90.00°, β = 90.00°, γ = 90.00°
Positions (direct):
La (0.500, 0.500, 0.500)
Se (0.000, 0.000, 0.500)
Se (0.500, 0.500, 0.000)
Sr (0.000, 0.000, 0.000)

The uncorrected formation energy is -8.065 eV per formula unit. As for the energy above the most stable polymorph in this dataset: 0 meV/atom.



## BaSn3Br (PBEsol)

Data for a relaxed structure of BaSn3Br.

a = 5.580 Å, b = 5.580 Å, c = 5.580 Å
α = 90.00°, β = 90.00°, γ = 90.00°
Positions (direct):
Sn (0.500, 0.000, 0.000)
Sn (0.000, 0.500, 0.000)
Sn (0.000, 0.000, 0.500)
Ba (0.500, 0.500, 0.500)
Br (0.000, 0.000, 0.000)

The uncorrected formation energy is 0.197 eV per formula unit.



| no. | mass density (Mg/m³) |
| --- | --- |
| 1 | 8.413 |
| 2 | 10.989 |
| 3 | 9.351 |
| 4 | 9.226 |
| 5 | 5.675 |
| 6 | 5.479 |